Compound: LaAl2Pd
Source: Alexandria
Functional: GGA-PBE
Structure: optimized geometry

For the formation energy from the elements, the calculation gives -0.715 eV/atom. For the volume, the calculation gives 21.29 A^3/atom.

Cell: 16.072 7.048 6.014 Å, 90.00 90.00 90.00°
Element x y z (fractional)
La: 0.104 0.250 0.218
La: 0.137 0.750 0.014
La: 0.363 0.250 0.514
La: 0.396 0.750 0.718
La: 0.604 0.250 0.282
La: 0.637 0.750 0.486
La: 0.863 0.250 0.986
La: 0.896 0.750 0.782
Al: 0.045 0.060 0.703
Al: 0.045 0.440 0.703
Al: 0.212 0.557 0.521
Al: 0.212 0.943 0.521
Al: 0.288 0.057 0.021
Al: 0.288 0.443 0.021
Al: 0.455 0.560 0.203
Al: 0.455 0.940 0.203
Al: 0.545 0.060 0.797
Al: 0.545 0.440 0.797
Al: 0.712 0.557 0.979
Al: 0.712 0.943 0.979
Al: 0.788 0.057 0.479
Al: 0.788 0.443 0.479
Al: 0.955 0.560 0.297
Al: 0.955 0.940 0.297
Pd: 0.073 0.750 0.498
Pd: 0.185 0.250 0.749
Pd: 0.315 0.750 0.249
Pd: 0.427 0.250 0.998
Pd: 0.573 0.750 0.002
Pd: 0.685 0.250 0.751
Pd: 0.815 0.750 0.251
Pd: 0.927 0.250 0.502